Computed, not measured: crystalline DyNpSe at its relaxed geometry at the GGA-PBE level of DFT.

```
DyNpSe
1.0
-1.6862 2.0875 -3.2148
-3.2708 -1.8560 0.5104
-5.1905 12.0467 10.5449
Se Np Dy
4 4 4
Cartesian
-7.3009 9.4266 8.6577
-4.7495 3.4575 3.3016
-2.8466 2.8516 -0.8173
-5.3979 8.8207 4.5388
-3.7493 5.9913 4.8152
-1.3531 0.2144 -0.8368
-6.3982 6.2869 3.0252
-8.7943 12.0639 8.6772
-6.3868 7.2986 6.7772
-3.8235 1.3148 1.4439
-3.7607 4.9796 1.0632
-6.3239 10.9634 6.3966
```

**Calculated volume**: 267.5 Å³ per cell

Computed, not measured: crystalline DyNpSe2 at its relaxed geometry at the GGA-PBE level of DFT.

```
DyNpSe2
1.0
-1.6906 -2.9005 -2.3269
-0.0206 -3.8825 1.2692
-6.4481 -1.2470 2.6540
Np Se Dy
1 2 1
Cartesian
0.0000 0.0000 0.0000
-2.0568 -2.0046 0.4078
-6.1025 -6.0254 1.1886
-4.0796 -4.0150 0.7982
```

**Calculated volume**: 96.5 Å³ per cell

Result set for theoretical density: 11.88; 9.59 g cm⁻³, one per record in the order listed.
Result set for E_form (uncorrected): -0.827; -1.423 eV per atom, one per record in the order listed.